Record 1
# Zr2SeSBr, PBEsol geometry, DFT SCAN
data_Zr2SeSBr
_chemical_formula_sum 'Zr2 Se1 S1 Br1'
_symmetry_space_group_name_H-M 'P 4/m m m'
_symmetry_Int_Tables_number 123
_symmetry_space_group_name_Hall '-P 4 2'
_cell_length_a 4.8451
_cell_length_b 4.8451
_cell_length_c 4.7888
_cell_angle_alpha 90.00
_cell_angle_beta 90.00
_cell_angle_gamma 90.00
loop_
_atom_site_label
_atom_site_type_symbol
_atom_site_fract_x
_atom_site_fract_y
_atom_site_fract_z
_atom_site_occupancy
Zr1 Zr 0.0000 0.5000 0.0000 1
Se1 Se 0.0000 0.0000 0.5000 1
S1 S 0.0000 0.0000 0.0000 1
Br1 Br 0.5000 0.5000 0.5000 1
# **Formation energy without anion corrections**: -174 meV per atom
# **Density of states at the Fermi level**: 0.82 states/eV/atom

Record 2
# Sm3Si2S8Br, PBEsol geometry, DFT SCAN
data_Sm3Si2S8Br
_chemical_formula_sum 'Sm12 Si8 S32 Br4'
_symmetry_space_group_name_H-M 'C 1 2/c 1'
_symmetry_Int_Tables_number 15
_symmetry_space_group_name_Hall '-C 2yc'
_cell_length_a 15.3699
_cell_length_b 7.5579
_cell_length_c 10.7073
_cell_angle_alpha 90.00
_cell_angle_beta 98.14
_cell_angle_gamma 90.00
loop_
_atom_site_label
_atom_site_type_symbol
_atom_site_fract_x
_atom_site_fract_y
_atom_site_fract_z
_atom_site_occupancy
Sm1 Sm 0.0000 0.1164 0.2500 1
Sm2 Sm 0.1980 0.3775 0.6832 1
Si1 Si 0.1591 0.0348 0.0274 1
S1 S 0.0641 0.1627 0.5430 1
S2 S 0.1450 0.2538 0.1454 1
S3 S 0.1464 0.0971 0.8331 1
S4 S 0.2137 0.4281 0.4141 1
Br1 Br 0.0000 0.4921 0.7500 1
# **Formation energy without anion corrections**: -1688 meV per atom
# **Density of states at the Fermi level**: 0.00 states/eV/atom

Record 3
# Si2TcSBr, PBEsol geometry, DFT SCAN
data_Si2TcSBr
_chemical_formula_sum 'Si2 Tc1 S1 Br1'
_symmetry_space_group_name_H-M 'P 4/m m m'
_symmetry_Int_Tables_number 123
_symmetry_space_group_name_Hall '-P 4 2'
_cell_length_a 4.8637
_cell_length_b 4.8637
_cell_length_c 4.3714
_cell_angle_alpha 90.00
_cell_angle_beta 90.00
_cell_angle_gamma 90.00
loop_
_atom_site_label
_atom_site_type_symbol
_atom_site_fract_x
_atom_site_fract_y
_atom_site_fract_z
_atom_site_occupancy
Si1 Si 0.0000 0.5000 0.0000 1
Tc1 Tc 0.0000 0.0000 0.5000 1
S1 S 0.0000 0.0000 0.0000 1
Br1 Br 0.5000 0.5000 0.5000 1
# **Formation energy without anion corrections**: 1119 meV per atom
# **Density of states at the Fermi level**: 0.52 states/eV/atom

Record 4
# Tl2SnSBr, PBEsol geometry, DFT SCAN
data_Tl2SnSBr
_chemical_formula_sum 'Tl2 Sn1 S1 Br1'
_symmetry_space_group_name_H-M 'P 4/m m m'
_symmetry_Int_Tables_number 123
_symmetry_space_group_name_Hall '-P 4 2'
_cell_length_a 5.8198
_cell_length_b 5.8198
_cell_length_c 4.7526
_cell_angle_alpha 90.00
_cell_angle_beta 90.00
_cell_angle_gamma 90.00
loop_
_atom_site_label
_atom_site_type_symbol
_atom_site_fract_x
_atom_site_fract_y
_atom_site_fract_z
_atom_site_occupancy
Tl1 Tl 0.0000 0.5000 0.0000 1
Sn1 Sn 0.0000 0.0000 0.5000 1
S1 S 0.5000 0.5000 0.5000 1
Br1 Br 0.5000 0.5000 0.0000 1
# **Formation energy without anion corrections**: 405 meV per atom
# **Density of states at the Fermi level**: 0.47 states/eV/atom

Record 5
# Ta3SBr7, PBEsol geometry, DFT SCAN
data_Ta3SBr7
_chemical_formula_sum 'Ta6 S2 Br14'
_symmetry_space_group_name_H-M 'C 1 m 1'
_symmetry_Int_Tables_number 8
_symmetry_space_group_name_Hall 'C -2y'
_cell_length_a 12.1884
_cell_length_b 7.0308
_cell_length_c 8.8163
_cell_angle_alpha 90.00
_cell_angle_beta 133.14
_cell_angle_gamma 90.00
loop_
_atom_site_label
_atom_site_type_symbol
_atom_site_fract_x
_atom_site_fract_y
_atom_site_fract_z
_atom_site_occupancy
Ta1 Ta 0.0000 0.0000 0.0000 1
Ta2 Ta 0.2971 0.2974 0.9993 1
S1 S 0.4979 0.5000 0.2696 1
Br1 Br 0.0653 0.5000 0.7349 1
Br2 Br 0.0930 0.0000 0.7874 1
Br3 Br 0.2219 0.2543 0.2188 1
Br4 Br 0.3195 0.2463 0.7366 1
Br5 Br 0.4757 0.0000 0.2193 1
# **Formation energy without anion corrections**: -1004 meV per atom

Record 6
# TbSBr, PBEsol geometry, DFT SCAN
data_TbSBr
_chemical_formula_sum 'Tb4 S4 Br4'
_symmetry_space_group_name_H-M 'P 1 21/c 1'
_symmetry_Int_Tables_number 14
_symmetry_space_group_name_Hall '-P 2ybc'
_cell_length_a 6.7005
_cell_length_b 6.8266
_cell_length_c 6.7367
_cell_angle_alpha 90.00
_cell_angle_beta 99.67
_cell_angle_gamma 90.00
loop_
_atom_site_label
_atom_site_type_symbol
_atom_site_fract_x
_atom_site_fract_y
_atom_site_fract_z
_atom_site_occupancy
Tb1 Tb 0.1782 0.0386 0.2913 1
S1 S 0.0601 0.7392 0.5086 1
Br1 Br 0.4187 0.1251 0.7010 1
# **Formation energy without anion corrections**: -2243 meV per atom
# **Density of states at the Fermi level**: 0.00 states/eV/atom